No. 1
The following is a PBE calculation of an optimized crystal structure of Cs12Rb3O5, from Alexandria via LeMat-Bulk.

N(E_F), states/eV per atom: 0.95
Space-group type: Ia-3d

extended XYZ file:
```
80
Lattice="-10.280 10.280 10.280 10.280 -10.280 10.280 10.280 10.280 -10.280" Properties=species:S:1:pos:R:3 pbc="T T T"
Cs 8.043 -5.865 6.192
Cs 17.658 1.052 -0.724
Cs 13.183 1.052 0.724
Cs 12.517 -4.416 6.192
Cs 14.696 4.088 -2.237
Cs 11.005 -7.377 9.229
Cs 6.192 8.043 -5.865
Cs 9.229 -0.724 2.903
Cs 9.229 11.005 -7.377
Cs 6.192 -2.237 5.865
Cs 5.865 6.192 -2.237
Cs 9.556 2.903 1.052
Cs 16.145 4.088 2.237
Cs 9.556 -2.903 9.229
Cs 9.229 9.556 -2.903
Cs 6.192 2.237 4.416
Cs 6.192 12.517 -4.416
Cs 9.229 0.724 7.377
Cs 4.416 6.192 2.237
Cs 11.005 7.377 1.052
Cs 2.903 9.229 -0.724
Cs 12.517 4.416 4.088
Cs 7.377 9.229 0.724
Cs 8.043 5.865 4.088
Cs 2.237 4.416 6.192
Cs 2.903 1.052 9.556
Cs -2.237 5.865 6.192
Cs 7.377 1.052 11.005
Cs -0.724 2.903 9.229
Cs 5.865 4.088 8.043
Cs 1.052 9.556 2.903
Cs 4.088 -2.237 14.696
Cs 4.088 8.043 5.865
Cs 1.052 0.724 13.183
Cs 0.724 13.183 1.052
Cs -5.865 6.192 8.043
Cs 0.724 7.377 9.229
Cs 4.416 4.088 12.517
Cs 4.088 12.517 4.416
Cs 1.052 -0.724 17.658
Cs 1.052 11.005 7.377
Cs 4.088 2.237 16.145
Cs -0.724 17.658 1.052
Cs -4.416 6.192 12.517
Cs -2.237 14.696 4.088
Cs -2.903 9.229 9.556
Cs -7.377 9.229 11.005
Cs 2.237 16.145 4.088
Rb 5.140 2.570 0.000
Rb 10.280 5.140 -2.570
Rb 2.570 0.000 5.140
Rb 12.850 0.000 5.140
Rb 0.000 5.140 2.570
Rb 5.140 -2.570 10.280
Rb 5.140 12.850 0.000
Rb 10.280 5.140 7.710
Rb -2.570 10.280 5.140
Rb 7.710 10.280 5.140
Rb 0.000 5.140 12.850
Rb 5.140 7.710 10.280
O 0.000 0.000 0.000
O 5.140 5.140 -5.140
O 5.140 -5.140 5.140
O 10.280 0.000 0.000
O 15.421 2.570 0.000
O 10.280 -5.140 7.710
O 7.710 10.280 -5.140
O 7.710 0.000 5.140
O 5.140 7.710 0.000
O 10.280 5.140 2.570
O -5.140 5.140 5.140
O 0.000 10.280 0.000
O 0.000 0.000 10.280
O 5.140 5.140 5.140
O 0.000 5.140 7.710
O 5.140 2.570 10.280
O 2.570 10.280 5.140
O 2.570 0.000 15.421
O 0.000 15.421 2.570
O -5.140 7.710 10.280
```

=====

No. 2
The following is a PBE calculation of an optimized crystal structure of CsRb5O3, from Alexandria via LeMat-Bulk.

N(E_F), states/eV per atom: 0.34
Space-group type: C2/m

extended XYZ file:
```
18
Lattice="6.476 -4.678 0.000 6.476 4.678 0.000 -4.073 0.000 9.693" Properties=species:S:1:pos:R:3 pbc="T T T"
Cs 2.813 0.000 0.410
Cs 6.065 0.000 9.283
Rb 2.887 2.923 3.288
Rb 0.099 0.000 2.850
Rb 6.476 1.752 0.000
Rb 5.991 2.923 6.406
Rb 3.165 0.000 6.062
Rb 5.713 0.000 3.632
Rb 2.887 -2.923 3.288
Rb 6.476 -1.752 0.000
Rb 8.779 0.000 6.843
Rb 5.991 -2.923 6.406
O 0.000 0.000 0.000
O -2.037 0.000 4.847
O 2.875 0.000 3.277
O 1.046 0.000 7.982
O 7.831 0.000 1.711
O 6.003 0.000 6.416
```

=====

No. 3
The following is a PBE calculation of an optimized crystal structure of CsRbO, from Alexandria via LeMat-Bulk.

Space-group type: Pnma

extended XYZ file:
```
12
Lattice="14.034 0.000 0.000 0.000 4.963 0.000 0.000 0.000 5.022" Properties=species:S:1:pos:R:3 pbc="T T T"
Cs 2.811 1.241 0.931
Cs 4.206 3.722 3.442
Cs 9.828 1.241 1.580
Cs 11.223 3.722 4.091
Rb 0.019 3.722 1.301
Rb 6.998 1.241 3.812
Rb 7.036 3.722 1.210
Rb 14.015 1.241 3.721
O 1.574 3.722 3.869
O 5.443 1.241 1.358
O 8.591 3.722 3.664
O 12.460 1.241 1.153
```

=====

no.,V (Å³/atom),uncorrected formation energy (meV/atom)
1,54.3,-540
2,32.6,-893
3,29.2,-886